This record from Alexandria describes KBaV2O6 after structural relaxation. The functional is GGA+U.

a = 8.038 Å, b = 8.038 Å, c = 5.863 Å
α = 97.48°, β = 97.48°, γ = 91.41°
Positions (direct):
K 0.159 0.841 0.750
K 0.841 0.159 0.250
Ba 0.384 0.616 0.250
Ba 0.616 0.384 0.750
V 0.132 0.300 0.758
V 0.300 0.132 0.258
V 0.700 0.868 0.742
V 0.868 0.700 0.242
O 0.072 0.650 0.315
O 0.150 0.185 0.014
O 0.185 0.150 0.514
O 0.279 0.466 0.814
O 0.350 0.928 0.185
O 0.466 0.279 0.314
O 0.534 0.721 0.686
O 0.650 0.072 0.815
O 0.721 0.534 0.186
O 0.815 0.850 0.486
O 0.850 0.815 0.986
O 0.928 0.350 0.685

Output
Calculated total energy   -6.940 eV/atom
Crystal system   monoclinic
M_tot   1.00 μB/f.u.